Entry 1:
Here is a relaxed structure of Na2ZnGe2Se6 from Alexandria. Energies are from GGA-PBEsol.

Lattice parameters (Å, degrees): 7.703 7.703 18.613 90.00 90.00 90.00
Space group I4/mcm (No. 140)
One atom of each set of equivalent atoms:
Na1 0.000 0.000 0.114 [8 per cell]
Zn1 0.000 0.500 0.250 [4 per cell]
Ge1 0.000 0.500 0.086 [8 per cell]
Se1 0.167 0.333 0.000 [8 per cell]
Se2 0.171 0.329 0.338 [16 per cell]

Results
Total DFT energy (no corrections) (eV/atom): -3.99
ρ (Mg/m³): 4.39

***

Entry 2:
Here is a relaxed structure of Na2SiGe from Alexandria. Energies are from GGA-PBEsol.

Lattice parameters (Å, degrees): 11.212 11.212 4.794 90.00 90.00 90.00
Space group I-42d (No. 122)
One atom of each set of equivalent atoms:
Na1 0.005 0.250 0.125 [8 per cell]
Si1 0.000 0.000 0.000 [4 per cell]
Ge1 0.000 0.000 0.500 [4 per cell]

Results
Total DFT energy (no corrections) (eV/atom): -3.06
ρ (Mg/m³): 1.62

***

Entry 3:
Here is a relaxed structure of Na2ZrSiGe from Alexandria. Energies are from GGA-PBEsol.

Lattice parameters (Å, degrees): 4.923 4.923 5.201 90.00 90.00 90.00
Space group P4/mmm (No. 123)
One atom of each set of equivalent atoms:
Na1 0.000 0.500 0.000 [2 per cell]
Zr1 0.000 0.000 0.500 [1 per cell]
Si1 0.500 0.500 0.500 [1 per cell]
Ge1 0.000 0.000 0.000 [1 per cell]

Results
Total DFT energy (no corrections) (eV/atom): -3.90
ρ (Mg/m³): 3.13

***

Entry 4:
Here is a relaxed structure of NaSnGe2 from Alexandria. Energies are from GGA-PBEsol.

Lattice parameters (Å, degrees): 7.011 7.011 7.011 90.00 90.00 90.00
Space group Fm-3m (No. 225)
One atom of each set of equivalent atoms:
Na1 0.000 0.000 0.000 [4 per cell]
Sn1 0.000 0.000 0.500 [4 per cell]
Ge1 0.250 0.250 0.250 [8 per cell]

Results
Energy of formation from the pure elements (eV per atom): 0.12
ρ (Mg/m³): 5.53

***

Entry 5:
Here is a relaxed structure of NaSn2Ge from Alexandria. Energies are from GGA-PBEsol.

Lattice parameters (Å, degrees): 8.282 8.282 5.994 90.00 90.00 90.00
Space group I-42d (No. 122)
One atom of each set of equivalent atoms:
Na1 0.000 0.000 0.000 [4 per cell]
Sn1 0.195 0.750 0.625 [8 per cell]
Ge1 0.000 0.000 0.500 [4 per cell]

Results
Energy of formation from the pure elements (eV per atom): -0.04
ρ (Mg/m³): 5.38

***

Entry 6:
Here is a relaxed structure of NaSr2Ge2 from Alexandria. Energies are from GGA-PBEsol.

Lattice parameters (Å, degrees): 8.081 8.081 4.447 90.00 90.00 90.00
Space group P4/mbm (No. 127)
One atom of each set of equivalent atoms:
Na1 0.000 0.000 0.000 [2 per cell]
Sr1 0.176 0.324 0.500 [4 per cell]
Ge1 0.110 0.610 0.000 [4 per cell]

Results
Energy of formation from the pure elements (eV per atom): -0.45
ρ (Mg/m³): 3.93

***

Entry 7:
Here is a relaxed structure of NaTaGe3 from Alexandria. Energies are from GGA-PBEsol.

Lattice parameters (Å, degrees): 4.992 4.992 4.992 90.00 90.00 90.00
Space group Pm-3m (No. 221)
One atom of each set of equivalent atoms:
Na1 0.000 0.000 0.000 [1 per cell]
Ta1 0.500 0.500 0.500 [1 per cell]
Ge1 0.000 0.500 0.500 [3 per cell]

Results
Energy of formation from the pure elements (eV per atom): 0.17
ρ (Mg/m³): 5.63

***

Entry 8:
Here is a relaxed structure of NaTlGe3 from Alexandria. Energies are from GGA-PBEsol.

Lattice parameters (Å, degrees): 5.362 5.362 5.362 90.00 90.00 90.00
Space group Pm-3m (No. 221)
One atom of each set of equivalent atoms:
Na1 0.000 0.000 0.000 [1 per cell]
Tl1 0.500 0.500 0.500 [1 per cell]
Ge1 0.000 0.500 0.500 [3 per cell]

Results
Energy of formation from the pure elements (eV per atom): 0.77
ρ (Mg/m³): 4.80

***

Entry 9:
Here is a relaxed structure of NaGeW3 from Alexandria. Energies are from GGA-PBEsol.

Lattice parameters (Å, degrees): 4.472 4.472 4.472 90.00 90.00 90.00
Space group Pm-3m (No. 221)
One atom of each set of equivalent atoms:
Na1 0.000 0.000 0.000 [1 per cell]
Ge1 0.500 0.500 0.500 [1 per cell]
W1 0.000 0.000 0.500 [3 per cell]

Results
Energy of formation from the pure elements (eV per atom): 3.17
ρ (Mg/m³): 12.02

***

Entry 10:
Here is a relaxed structure of Na3GeW from Alexandria. Energies are from GGA-PBEsol.

Lattice parameters (Å, degrees): 5.632 5.632 5.632 90.00 90.00 90.00
Space group Pm-3m (No. 221)
One atom of each set of equivalent atoms:
Na1 0.000 0.000 0.500 [3 per cell]
Ge1 0.500 0.500 0.500 [1 per cell]
W1 0.000 0.000 0.000 [1 per cell]

Results
Distance to the lowest polymorph of the same formula (meV per atom): 262
Energy of formation from the pure elements (eV per atom): 1.87
ρ (Mg/m³): 3.03

***

Entry 11:
Here is a relaxed structure of Na3GeW from Alexandria. Energies are from GGA-PBEsol.

Lattice parameters (Å, degrees): 5.373 5.373 5.373 90.00 90.00 90.00
Space group Pm-3m (No. 221)
One atom of each set of equivalent atoms:
Na1 0.000 0.000 0.500 [3 per cell]
Ge1 0.000 0.000 0.000 [1 per cell]
W1 0.500 0.500 0.500 [1 per cell]

Results
Distance to the lowest polymorph of the same formula (meV per atom): 0
Energy of formation from the pure elements (eV per atom): 1.61
ρ (Mg/m³): 3.48

***

Entry 12:
Here is a relaxed structure of NaY3Ge from Alexandria. Energies are from GGA-PBEsol.

Lattice parameters (Å, degrees): 5.509 5.509 5.509 90.00 90.00 90.00
Space group Pm-3m (No. 221)
One atom of each set of equivalent atoms:
Na1 0.000 0.000 0.000 [1 per cell]
Y1 0.000 0.500 0.500 [3 per cell]
Ge1 0.500 0.500 0.500 [1 per cell]

Results
Energy of formation from the pure elements (eV per atom): -0.01
ρ (Mg/m³): 3.60

***

Entry 13:
Here is a relaxed structure of Na2ZnGe from Alexandria. Energies are from GGA-PBEsol.

Lattice parameters (Å, degrees): 9.071 7.319 5.388 90.00 90.00 90.00
Space group Cmcm (No. 63)
One atom of each set of equivalent atoms:
Na1 0.176 0.143 0.250 [8 per cell]
Zn1 0.000 0.500 0.000 [4 per cell]
Ge1 0.000 0.227 0.750 [4 per cell]

Results
Energy of formation from the pure elements (eV per atom): -0.13
ρ (Mg/m³): 3.42

***

Entry 14:
Here is a relaxed structure of NaZrGe2 from Alexandria. Energies are from GGA-PBEsol.

Lattice parameters (Å, degrees): 6.733 6.733 6.733 90.00 90.00 90.00
Space group Fm-3m (No. 225)
One atom of each set of equivalent atoms:
Na1 0.000 0.000 0.000 [4 per cell]
Zr1 0.000 0.000 0.500 [4 per cell]
Ge1 0.250 0.250 0.250 [8 per cell]

Results
Energy of formation from the pure elements (eV per atom): -0.06
ρ (Mg/m³): 5.65

***

Entry 15:
Here is a relaxed structure of Nb3Ge from Alexandria. Energies are from GGA-PBEsol.

Lattice parameters (Å, degrees): 5.125 5.125 5.125 90.00 90.00 90.00
Space group Pm-3n (No. 223)
One atom of each set of equivalent atoms:
Nb1 0.000 0.250 0.500 [6 per cell]
Ge1 0.000 0.000 0.000 [2 per cell]

Results
Energy of formation from the pure elements (eV per atom): -0.32
ρ (Mg/m³): 8.67

***

Entry 16:
Here is a relaxed structure of NbGe2 from Alexandria. Energies are from GGA-PBEsol.

Lattice parameters (Å, degrees): 4.9425 4.9425 6.7696 90.00 90.00 120.00
Space group P6_422 (No. 181)
One atom of each set of equivalent atoms:
Nb1 0.0000 0.5000 0.3333 [3 per cell]
Ge1 0.1639 0.3278 0.0000 [6 per cell]

Results
Energy of formation from the pure elements (eV per atom): -0.44
ρ (Mg/m³): 8.29

***

Entry 17:
Here is a relaxed structure of Nb10Ge7 from Alexandria. Energies are from GGA-PBEsol.

Lattice parameters (Å, degrees): 13.4520 13.4520 5.3713 90.00 90.00 120.00
Space group P-3m1 (No. 164)
One atom of each set of equivalent atoms:
Nb1 0.0000 0.3312 0.0000 [6 per cell]
Nb2 0.0000 0.3358 0.5000 [6 per cell]
Nb3 0.0876 0.1753 0.2714 [6 per cell]
Nb4 0.1590 0.5795 0.2298 [6 per cell]
Nb5 0.2455 0.4910 0.7733 [6 per cell]
Ge1 0.0000 0.0000 0.0000 [1 per cell]
Ge2 0.0727 0.5363 0.7528 [6 per cell]
Ge3 0.1302 0.2605 0.7516 [6 per cell]
Ge4 0.2029 0.4058 0.2589 [6 per cell]
Ge5 0.3333 0.6667 0.5037 [2 per cell]

Results
Energy of formation from the pure elements (eV per atom): -0.53
ρ (Mg/m³): 8.51

***

Entry 18:
Here is a relaxed structure of Nb6Ni16Ge7 from Alexandria. Energies are from GGA-PBEsol.

Lattice parameters (Å, degrees): 11.321 11.321 11.321 90.00 90.00 90.00
Space group Fm-3m (No. 225)
One atom of each set of equivalent atoms:
Nb1 0.000 0.000 0.202 [24 per cell]
Ni1 0.117 0.117 0.383 [32 per cell]
Ni2 0.168 0.168 0.168 [32 per cell]
Ge1 0.000 0.000 0.500 [4 per cell]
Ge2 0.000 0.250 0.250 [24 per cell]

Results
Energy of formation from the pure elements (eV per atom): -0.43
ρ (Mg/m³): 9.18

***

Entry 19:
Here is a relaxed structure of Nb2Ge2O7 from Alexandria. Energies are from GGA-PBEsol.

Lattice parameters (Å, degrees): 7.912 5.647 13.509 90.00 96.15 90.00
Space group P2_1 (No. 4)
One atom of each set of equivalent atoms:
Nb1 0.027 0.000 0.110 [2 per cell]
Nb2 0.087 0.479 0.315 [2 per cell]
Nb3 0.423 0.989 0.675 [2 per cell]
Nb4 0.467 0.500 0.879 [2 per cell]
Ge1 0.078 0.462 0.574 [2 per cell]
Ge2 0.195 0.050 0.860 [2 per cell]
Ge3 0.320 0.575 0.098 [2 per cell]
Ge4 0.356 0.965 0.433 [2 per cell]
O1 0.003 0.730 0.987 [2 per cell]
O2 0.030 0.183 0.227 [2 per cell]
O3 0.041 0.661 0.185 [2 per cell]
O4 0.044 0.302 0.439 [2 per cell]
O5 0.119 0.776 0.392 [2 per cell]
O6 0.191 0.041 0.710 [2 per cell]
O7 0.225 0.401 0.887 [2 per cell]
O8 0.275 0.932 0.108 [2 per cell]
O9 0.317 0.438 0.307 [2 per cell]
O10 0.364 0.811 0.559 [2 per cell]
O11 0.445 0.697 0.772 [2 per cell]
O12 0.463 0.697 0.993 [2 per cell]
O13 0.473 0.263 0.606 [2 per cell]
O14 0.478 0.170 0.817 [2 per cell]

Results
Total DFT energy (no corrections) (eV/atom): -8.19
ρ (Mg/m³): 4.90